# 1
# Rb2BeBiBr6 | Alexandria via LeMat-Bulk | PBE | relaxed
data_Rb2BeBiBr6
_chemical_formula_sum 'Rb4 Be2 Bi2 Br12'
_cell_length_a 8.297
_cell_length_b 8.297
_cell_length_c 11.056
_cell_angle_alpha 90.00
_cell_angle_beta 90.00
_cell_angle_gamma 90.00
_space_group_name_H-M_alt 'I 4/m m m'
_space_group_IT_number 139
_space_group_name_Hall '-I 4 2'
loop_
_atom_site_label
_atom_site_fract_x
_atom_site_fract_y
_atom_site_fract_z
_atom_site_occupancy
Rb1 0.000 0.500 0.250 1
Be1 0.000 0.000 0.000 1
Bi1 0.000 0.000 0.500 1
Br1 0.000 0.000 0.186 1
Br2 0.244 0.244 0.500 1
# N(E_F) in states/eV/cell: 0.00
# Calculated total energy in Ry per atom: -0.2188

# 2
# Ac3Sm4Dy | Alexandria via LeMat-Bulk | PBE | relaxed
data_Ac3Sm4Dy
_chemical_formula_sum 'Ac6 Sm8 Dy2'
_cell_length_a 5.322
_cell_length_b 10.608
_cell_length_c 10.603
_cell_angle_alpha 90.00
_cell_angle_beta 90.00
_cell_angle_gamma 90.00
_space_group_name_H-M_alt 'P m m n'
_space_group_IT_number 59
loop_
_space_group_symop_operation_xyz
'x,y,z'
'-x,-y,-z'
'-x+1/2,-y+1/2,z'
'x+1/2,y+1/2,-z'
'x+1/2,-y,-z'
'-x+1/2,y,z'
'-x,y+1/2,-z'
'x,-y+1/2,z'
loop_
_atom_site_label
_atom_site_fract_x
_atom_site_fract_y
_atom_site_fract_z
_atom_site_occupancy
Ac1 0.250 0.005 0.133 1
Ac2 0.250 0.250 0.867 1
Sm1 0.250 0.250 0.382 1
Sm2 0.250 0.504 0.616 1
Sm3 0.250 0.750 0.385 1
Dy1 0.250 0.750 0.863 1
# Formation energy from the elements in meV per atom: 47
# N(E_F) in states/eV/cell: 26.38

Number 1: ρ 3.789 g/cm³. Number 2: ρ 8.017 g/cm³.